(1)
A plane-wave DFT calculation with PBE was carried out for a relaxed structure of Ni2Pd2Pt7.

Cell: 5.465 5.465 6.016 Å, 101.46 101.46 97.99°
Element x y z (fractional)
Ni  0.227  0.773  0.000
Ni  0.773  0.227  0.000
Pd  0.094  0.094  0.327
Pd  0.906  0.906  0.673
Pt  0.046  0.592  0.314
Pt  0.313  0.313  0.024
Pt  0.408  0.954  0.686
Pt  0.500  0.500  0.500
Pt  0.592  0.046  0.314
Pt  0.687  0.687  0.976
Pt  0.954  0.408  0.686

Results
The density comes out at 16602 kg/m³. As for the energy relative to the lowest polymorph listed for this composition: 0.000 eV/f.u. Its crystal system is monoclinic. The calculated formation energy is 0.098 eV per atom.

=====

(2)
A plane-wave DFT calculation with PBE was carried out for a relaxed structure of UBi3Se6.

Cell: 12.168 4.124 12.205 Å, 90.00 105.09 90.00°
Element x y z (fractional)
U  0.183  0.250  0.037
U  0.817  0.750  0.963
Bi  0.019  0.750  0.314
Bi  0.342  0.250  0.422
Bi  0.411  0.750  0.845
Bi  0.589  0.250  0.155
Bi  0.658  0.750  0.578
Bi  0.981  0.250  0.686
Se  0.042  0.750  0.896
Se  0.118  0.250  0.468
Se  0.213  0.750  0.228
Se  0.250  0.250  0.809
Se  0.379  0.750  0.065
Se  0.408  0.750  0.585
Se  0.592  0.250  0.415
Se  0.621  0.250  0.935
Se  0.750  0.750  0.191
Se  0.787  0.250  0.772
Se  0.882  0.750  0.532
Se  0.958  0.250  0.104

Results
The density comes out at 7518 kg/m³. Its crystal system is monoclinic.

=====

Number 1: E_tot -5.741 eV per atom, M_tot 1.66 Bohr magnetons per cell. Number 2: E_tot -4.934 eV per atom, M_tot 5.53 Bohr magnetons per cell.